Be2GaPt | GGA-PBE | optimized geometry

POSCAR file:
```
Be2GaPt
1.0
6.782 0.000 0.000
0.000 6.782 0.000
3.391 3.391 2.453
Be Ga Pt
4 2 2
direct
0.668 0.125 0.250
0.082 0.625 0.250
0.375 0.332 0.750
0.875 0.918 0.750
0.500 0.500 0.000
0.250 0.750 0.500
0.000 0.000 0.000
0.750 0.250 0.500
```

Output
density = 8.32 g/cm³
DOS at the Fermi energy = 2.489 states/eV/cell
size of the total moment = 0.00 μB per formula unit
final energy = -4.037 eV/atom